{
  "formula": "MnOs5",
  "functional": "GGA-PBE",
  "state": "relaxed",
  "dos_at_fermi_per_ev_fu": 3.20,
  "rho_g_cm3": 20.19,
  "spacegroup": "No. 189",
  "final_energy_ry_per_atom": -0.80152,
  "lattice": [[4.7220, 0.0000, 0.0000], [-2.3610, 4.0894, 0.0000], [0.0000, 0.0000, 4.2848]],
  "species": ["Mn", "Os", "Os", "Os", "Os", "Os"],
  "fractional_positions": [[0.3333, 0.0000, 0.5000], [0.0000, 0.3333, 0.5000], [0.0070, 0.0000, 0.0000], [0.6597, 0.3263, 0.0000], [0.6667, 0.6667, 0.5000], [0.3333, 0.6737, 0.0000]]
}